1.
Material: Sr2As4Pd3Rh
Method: DFT, GGA-PBE
State: optimized geometry

extended XYZ file:
```
10
Lattice="4.442 0.000 0.000 0.000 4.442 0.000 0.000 0.000 10.210" Properties=species:S:1:pos:R:3 pbc="T T T"
Sr 0.000 2.221 2.539
Sr 2.221 0.000 7.672
As 0.000 0.000 0.000
As 0.000 2.221 6.377
As 2.221 0.000 3.833
As 2.221 2.221 0.000
Pd 0.000 2.221 8.909
Pd 2.221 0.000 1.301
Pd 2.221 2.221 5.105
Rh 0.000 0.000 5.105
```

## Properties
Formation energy in eV/atom: -0.76
VASP energy in eV/atom: -5.25
DOS(E_F) in states/eV/f.u.: 7.5
Symmetry: P-4m2 (115)
Calculated volume in Å³/atom: 20.14

2.
Material: MnNiS2
Method: DFT, GGA-PBE
State: optimized geometry

extended XYZ file:
```
4
Lattice="1.628 0.940 6.929 -1.628 0.940 6.929 0.000 -1.880 6.929" Properties=species:S:1:pos:R:3 pbc="T T T"
Mn 0.000 0.000 0.000
Ni 0.000 0.000 10.393
S 0.000 0.000 8.275
S 0.000 0.000 12.511
```

## Properties
Formation energy (no corrections) in eV per formula unit: -1.17
VASP energy in eV/atom: -6.09
Distance to the lowest polymorph of the same formula in meV per atom: 149
DOS(E_F) in states/eV/f.u.: 4.2
Symmetry: R-3m (166)
Calculated volume in Å³/atom: 15.90

3.
Material: Sm2Si2HgRh5
Method: DFT, GGA-PBE
State: optimized geometry

extended XYZ file:
```
20
Lattice="9.919 0.000 0.000 0.000 9.919 0.000 0.000 0.000 3.533" Properties=species:S:1:pos:R:3 pbc="T T T"
Sm 1.746 3.214 0.000
Sm 3.214 8.173 0.000
Sm 6.705 1.746 0.000
Sm 8.173 6.705 0.000
Si 1.211 6.171 0.000
Si 3.748 1.211 0.000
Si 6.171 8.708 0.000
Si 8.708 3.748 0.000
Hg 0.000 0.000 0.000
Hg 4.959 4.959 0.000
Rh 0.000 4.959 1.767
Rh 0.683 7.741 1.767
Rh 2.178 0.683 1.767
Rh 2.782 5.643 1.767
Rh 4.276 2.782 1.767
Rh 4.959 0.000 1.767
Rh 5.643 7.137 1.767
Rh 7.137 4.276 1.767
Rh 7.741 9.236 1.767
Rh 9.236 2.178 1.767
```

## Properties
Formation energy (no corrections) in eV per formula unit: -8.25
VASP energy in eV/atom: -6.56
DOS(E_F) in states/eV/f.u.: 2.5
Symmetry: P4/mbm (127)
Calculated volume in Å³/atom: 17.38

4.
Material: PrBSe2
Method: DFT, GGA-PBE
State: optimized geometry

extended XYZ file:
```
4
Lattice="1.707 0.986 8.492 -1.707 0.986 8.492 0.000 -1.971 8.492" Properties=species:S:1:pos:R:3 pbc="T T T"
Pr 0.000 0.000 0.000
B 0.000 0.000 12.738
Se 0.000 0.000 2.974
Se 0.000 0.000 22.502
```

## Properties
Formation energy (no corrections) in eV per formula unit: 0.91
VASP energy in eV/atom: -4.38
DOS(E_F) in states/eV/f.u.: 2.7
Symmetry: R-3m (166)
Calculated volume in Å³/atom: 21.44

5.
Material: Ba2CuIrPt
Method: DFT, GGA-PBE
State: optimized geometry

extended XYZ file:
```
5
Lattice="6.118 0.000 0.000 0.000 6.118 0.000 0.000 0.000 4.786" Properties=species:S:1:pos:R:3 pbc="T T T"
Ba 0.000 3.059 0.000
Ba 3.059 0.000 0.000
Cu 0.000 0.000 2.393
Ir 3.059 3.059 0.000
Pt 3.059 3.059 2.393
```

## Properties
Formation energy in eV/atom: 0.13
VASP energy in eV/atom: -4.44
DOS(E_F) in states/eV/f.u.: 2.1
Symmetry: P4/mmm (123)
Calculated volume in Å³/atom: 35.83

6.
Material: BaDyCu2Cl8
Method: DFT, GGA-PBE
State: optimized geometry

extended XYZ file:
```
12
Lattice="6.407 0.000 0.000 -3.204 5.549 0.000 0.000 0.000 9.077" Properties=species:S:1:pos:R:3 pbc="T T T"
Ba 0.000 0.000 0.000
Dy 0.000 0.000 4.538
Cu 0.000 3.699 6.771
Cu 3.204 1.850 2.305
Cl -2.129 3.821 2.852
Cl 0.959 1.795 2.852
Cl 2.034 0.067 6.224
Cl 0.000 3.699 9.007
Cl 3.204 1.850 0.069
Cl 1.170 5.482 2.852
Cl 2.245 3.754 6.224
Cl 5.332 1.728 6.224
```

## Properties
Formation energy (no corrections) in eV per formula unit: -18.28
VASP energy in eV/atom: -3.98
DOS(E_F) in states/eV/f.u.: 13.0
Symmetry: P-3 (147)
Calculated volume in Å³/atom: 26.89

Which of these has the highest calculated volume? Ba2CuIrPt

Which of these has the lowest DOS(E_F)? Ba2CuIrPt